Tb3CeFe8: relaxed, PBE.

Computed properties:
Space-group type = R3m
E_form = -63 meV/atom

Unit cell a=5.1502 b=5.1502 c=8.9054 alpha=73.19 beta=73.19 gamma=60.00
Last column: nearest neighbours and their distance in Å.
Atoms (fractional coordinates):
Tb 0.3753 0.3753 0.8742  12 Fe 3.01-3.02, 4 Tb 3.15-3.16
Tb 0.9997 0.9997 0.0009  12 Fe 3.01-3.02, 1 Ce 3.16, 3 Tb 3.16
Tb 0.5004 0.5004 0.4989  12 Fe 3.01-3.03, 3 Ce 3.15, 1 Tb 3.15
Ce 0.8744 0.8744 0.3767  12 Fe 3.01-3.03, 4 Tb 3.15-3.16
Fe 0.9385 0.4373 0.1870  6 Fe 2.57-2.58
Fe 0.4369 0.9375 0.6880  6 Fe 2.56-2.58
Fe 0.4373 0.4373 0.1870  6 Fe 2.57-2.58
Fe 0.9375 0.9375 0.6880  6 Fe 2.56-2.58
Fe 0.1875 0.1875 0.4374  6 Fe 2.57-2.58
Fe 0.6878 0.6878 0.9367  6 Fe 2.56-2.58
Fe 0.4373 0.9385 0.1870  6 Fe 2.57-2.58
Fe 0.9375 0.4369 0.6880  6 Fe 2.56-2.58



Tb3Pm5S8: relaxed, PBE.

Computed properties:
Formation energy from raw total energies = -2.02 eV per atom
Space-group type = R-3m

Unit cell a=7.9773 b=7.9773 c=8.0031 alpha=60.11 beta=60.11 gamma=60.00
Last column: nearest neighbours and their distance in Å.
Atoms (fractional coordinates):
Tb 0.5000 0.0000 0.5000  6 S 2.78
Tb 0.0000 0.0000 0.5000  6 S 2.78
Tb 0.0000 0.5000 0.5000  6 S 2.78
Pm 0.5000 0.0000 0.0000  6 S 2.87
Pm 0.5000 0.5000 0.0000  6 S 2.87
Pm 0.0000 0.0000 0.0000  6 S 2.83
Pm 0.0000 0.5000 0.0000  6 S 2.87
Pm 0.5000 0.5000 0.5000  6 S 2.82
S 0.2500 0.2500 0.7426  2 Tb 2.78, 4 Pm 2.82-2.87
S 0.2500 0.7573 0.7426  2 Tb 2.78, 4 Pm 2.82-2.87
S 0.7573 0.2500 0.7426  2 Tb 2.78, 4 Pm 2.82-2.87
S 0.7536 0.7536 0.7392  3 Tb 2.78, 3 Pm 2.87
S 0.7500 0.7500 0.2574  2 Tb 2.78, 4 Pm 2.82-2.87
S 0.7500 0.2427 0.2574  2 Tb 2.78, 4 Pm 2.82-2.87
S 0.2427 0.7500 0.2574  2 Tb 2.78, 4 Pm 2.82-2.87
S 0.2464 0.2464 0.2608  3 Tb 2.78, 3 Pm 2.87



Li2In5Au3: relaxed, PBE.

Computed properties:
Space-group type = Cmc2_1
E_form = -292 meV/atom

Unit cell a=4.5935 b=6.6943 c=14.5258 alpha=90.00 beta=99.10 gamma=90.00
Last column: nearest neighbours and their distance in Å.
Atoms (fractional coordinates):
Li 0.4791 0.8249 0.9581  5 Au 3.00-3.29, 3 In 3.16-3.17
Li 0.1447 0.7776 0.2894  3 Au 2.84-2.87, 5 In 2.88-3.01
Li 0.8553 0.2776 0.7106  3 Au 2.84-2.87, 5 In 2.88-3.01
Li 0.5209 0.3249 0.0419  5 Au 3.00-3.29, 3 In 3.16-3.17
In 0.4067 0.4666 0.8133  3 Au 2.79-2.83, 2 Li 3.01
In 0.2937 0.3406 0.5875  3 Au 2.84-2.89, 2 Li 2.93
In 0.7063 0.8406 0.4125  3 Au 2.84-2.89, 2 Li 2.93
In 0.1255 0.2886 0.2511  4 Au 2.82-2.92, 1 In 3.10
In 0.2941 0.8506 0.5883  4 Au 2.84-2.95
In 0.9491 0.1229 0.8981  4 Au 2.71-2.97, 1 Li 2.88
In 0.7059 0.3506 0.4117  4 Au 2.84-2.95
In 0.8745 0.7886 0.7489  4 Au 2.82-2.92, 1 In 3.10
In 0.0509 0.6229 0.1019  4 Au 2.71-2.97, 1 Li 2.88
In 0.5933 0.9666 0.1867  3 Au 2.79-2.83, 2 Li 3.01
Au 0.7879 0.5881 0.5758  7 In 2.82-2.90, 1 Li 2.84
Au 0.6147 0.5537 0.2294  6 In 2.83-2.97, 3 Li 2.87-3.09
Au 0.0419 0.0511 0.0839  5 In 2.71-2.88, 2 Li 3.00
Au 0.2121 0.0881 0.4242  7 In 2.82-2.90, 1 Li 2.84
Au 0.9581 0.5511 0.9161  5 In 2.71-2.88, 2 Li 3.00
Au 0.3853 0.0537 0.7706  6 In 2.83-2.97, 3 Li 2.87-3.09



| no. | raw total energy (hartree per atom) |
| --- | --- |
| 1 | -0.2704 |
| 2 | -0.2366 |
| 3 | -0.1112 |